## Na2NiHF6 (PBE+U)

Data for an optimized crystal structure of Na2NiHF6.

Calculated values
Space-group type ... I4/mmm, No. 139
E ... -4.05 eV/atom

```
data_Na2NiHF6
_chemical_formula_sum 'Na2 Ni1 H1 F6'
_space_group_name_H-M_alt 'P 1'
_space_group_IT_number 1
_space_group_name_Hall 'P 1'
_cell_length_a 5.300
_cell_length_b 5.300
_cell_length_c 5.300
_cell_angle_alpha 68.48
_cell_angle_beta 68.49
_cell_angle_gamma 105.47
loop_
_atom_site_label
_atom_site_type_symbol
_atom_site_fract_x
_atom_site_fract_y
_atom_site_fract_z
Na1 Na 0.250 0.750 0.500
Na2 Na 0.750 0.250 0.500
F1 F 0.285 0.285 0.430
F2 F 0.715 0.285 0.000
F3 F 0.180 0.180 0.000
F4 F 0.715 0.715 0.570
F5 F 0.285 0.715 0.000
F6 F 0.820 0.820 0.000
H1 H 0.000 0.000 0.000
Ni1 Ni 0.500 0.500 0.000
```